Entry 1:
A plane-wave DFT calculation with PBE-GGA was carried out for an optimized crystal structure of Tm2ZnCu2Ni5.

abc: 3.678 8.821 8.821
angles: 90.00 90.00 90.00
Sites, in units of the cell vectors:
Ni (0.500, 0.204, 0.061)
Cu (0.000, 0.119, 0.619)
Tm (0.000, 0.679, 0.179)
Ni (0.500, 0.704, 0.439)
Ni (0.500, 0.296, 0.561)
Tm (0.000, 0.179, 0.321)
Ni (0.500, 0.939, 0.204)
Cu (0.000, 0.381, 0.119)
Ni (0.500, 0.561, 0.704)
Ni (0.500, 0.000, 0.500)
Ni (0.500, 0.796, 0.939)
Tm (0.000, 0.321, 0.821)
Cu (0.000, 0.619, 0.881)
Ni (0.500, 0.061, 0.796)
Zn (0.000, 0.000, 0.000)
Tm (0.000, 0.821, 0.679)
Ni (0.500, 0.500, 0.000)
Cu (0.000, 0.881, 0.381)
Ni (0.500, 0.439, 0.296)
Zn (0.000, 0.500, 0.500)

Output
- Formation enthalpy at 0 K: -0.285 eV/atom


Entry 2:
A plane-wave DFT calculation with PBE-GGA was carried out for an optimized crystal structure of NdTmScCd.

abc: 5.377 5.377 5.377
angles: 60.00 60.00 60.00
Sites, in units of the cell vectors:
Sc (0.250, 0.250, 0.250)
Cd (0.750, 0.750, 0.750)
Nd (0.000, 0.000, 0.000)
Tm (0.500, 0.500, 0.500)

Output
- Formation enthalpy at 0 K: -0.041 eV/atom


Entry 3:
A plane-wave DFT calculation with PBE-GGA was carried out for an optimized crystal structure of Y2AuBr2.

abc: 3.970 3.970 11.437
angles: 80.00 80.00 60.00
Sites, in units of the cell vectors:
Br (0.777, 0.777, 0.668)
Au (0.000, 0.000, 0.000)
Y (0.388, 0.388, 0.835)
Y (0.612, 0.612, 0.165)
Br (0.223, 0.223, 0.332)

Output
- ΔE_f (raw): -1338 meV/atom


Entry 4:
A plane-wave DFT calculation with PBE-GGA was carried out for an optimized crystal structure of NpZnSn.

abc: 3.046 4.994 4.994
angles: 120.00 90.00 90.00
Last column: magnetic moment on the atom in μB.
Sites, in units of the cell vectors:
Zn (0.167, 0.667, 0.333)  -0.01
Np (0.667, 0.333, 0.667)  4.04
Sn (0.166, 0.000, 0.000)  -0.06

Output
- Formation enthalpy at 0 K: 0.031 eV/atom


Entry 5:
A plane-wave DFT calculation with PBE-GGA was carried out for an optimized crystal structure of TbEr3Se4.

abc: 3.999 7.047 7.047
angles: 108.82 90.00 90.00
Sites, in units of the cell vectors:
Se (0.000, 0.746, 0.746)
Er (0.000, 0.500, 0.000)
Se (0.000, 0.254, 0.254)
Tb (0.500, 0.000, 0.000)
Er (0.000, 0.000, 0.500)
Er (0.500, 0.500, 0.500)
Se (0.500, 0.252, 0.748)
Se (0.500, 0.748, 0.252)

Output
- Relative energy among the computed polymorphs: 0 meV/atom
- ΔE_f (raw): -1711 meV/atom


Entry 6:
A plane-wave DFT calculation with PBE-GGA was carried out for an optimized crystal structure of RbNdMgSe3.

abc: 4.374 9.481 10.319
angles: 107.32 90.00 90.00
Sites, in units of the cell vectors:
Se (0.750, 0.463, 0.156)
Nd (0.750, 0.332, 0.863)
Se (0.750, 0.885, 0.140)
Mg (0.750, 0.915, 0.393)
Se (0.250, 0.115, 0.860)
Mg (0.250, 0.085, 0.607)
Nd (0.250, 0.668, 0.137)
Se (0.250, 0.804, 0.462)
Rb (0.250, 0.204, 0.227)
Se (0.250, 0.537, 0.844)
Rb (0.750, 0.796, 0.773)
Se (0.750, 0.196, 0.538)

Output
- ΔE_f (raw): -1549 meV/atom